[1]
# LiTb2Pt (GGA-PBE, relaxed)
data_LiTb2Pt
_symmetry_space_group_name_H-M 'P 1'
_symmetry_Int_Tables_number 1
_symmetry_space_group_name_Hall 'P 1'
_cell_length_a 4.175
_cell_length_b 4.175
_cell_length_c 8.027
_cell_angle_alpha 74.93
_cell_angle_beta 74.93
_cell_angle_gamma 60.00
loop_
_atom_site_label
_atom_site_type_symbol
_atom_site_fract_x
_atom_site_fract_y
_atom_site_fract_z
Li1 Li 0.503 0.503 0.492
Pt1 Pt 0.665 0.665 0.004
Tb1 Tb 0.270 0.270 0.191
Tb2 Tb 0.062 0.062 0.813
# Density of states at the Fermi level   4.24 states/eV per cell
# ΔE_f   -500 meV/atom


[2]
# InBMo3 (GGA-PBE, relaxed)
data_InBMo3
_symmetry_space_group_name_H-M 'P 1'
_symmetry_Int_Tables_number 1
_symmetry_space_group_name_Hall 'P 1'
_cell_length_a 4.861
_cell_length_b 4.861
_cell_length_c 4.861
_cell_angle_alpha 90.00
_cell_angle_beta 90.00
_cell_angle_gamma 90.00
loop_
_atom_site_label
_atom_site_type_symbol
_atom_site_fract_x
_atom_site_fract_y
_atom_site_fract_z
In1 In 0.000 0.000 0.000
Mo1 Mo 0.000 0.000 0.500
Mo2 Mo 0.000 0.500 0.000
Mo3 Mo 0.500 0.000 0.000
B1 B 0.500 0.500 0.500
# Density of states at the Fermi level   6.54 states/eV per cell
# ΔE_f   3313 meV/atom
# Relative energy among the computed polymorphs   71.07 kcal/mol of atoms


[3]
# Pm2PaSb3Rh4 (GGA-PBE, relaxed)
data_Pm2PaSb3Rh4
_symmetry_space_group_name_H-M 'P 1'
_symmetry_Int_Tables_number 1
_symmetry_space_group_name_Hall 'P 1'
_cell_length_a 4.446
_cell_length_b 4.446
_cell_length_c 11.325
_cell_angle_alpha 90.00
_cell_angle_beta 90.00
_cell_angle_gamma 90.00
loop_
_atom_site_label
_atom_site_type_symbol
_atom_site_fract_x
_atom_site_fract_y
_atom_site_fract_z
Pm1 Pm 0.000 0.500 0.785
Pm2 Pm 0.500 0.000 0.215
Pa1 Pa 0.500 0.500 0.500
Rh1 Rh 0.500 0.000 0.638
Rh2 Rh 0.500 0.500 0.000
Rh3 Rh 0.000 0.000 0.000
Rh4 Rh 0.000 0.500 0.362
Sb1 Sb 0.000 0.500 0.132
Sb2 Sb 0.000 0.000 0.500
Sb3 Sb 0.500 0.000 0.868
# Uncorrected formation energy   -0.81 eV/atom
# Density of states at the Fermi level   9.32 states/eV per cell


[4]
# LaSmSn2 (GGA-PBE, relaxed)
data_LaSmSn2
_symmetry_space_group_name_H-M 'P 1'
_symmetry_Int_Tables_number 1
_symmetry_space_group_name_Hall 'P 1'
_cell_length_a 4.401
_cell_length_b 6.362
_cell_length_c 8.760
_cell_angle_alpha 90.00
_cell_angle_beta 90.00
_cell_angle_gamma 90.00
loop_
_atom_site_label
_atom_site_type_symbol
_atom_site_fract_x
_atom_site_fract_y
_atom_site_fract_z
Sn1 Sn 0.500 0.100 0.959
Sn2 Sn 0.000 0.597 0.541
Sn3 Sn 0.500 0.900 0.459
Sn4 Sn 0.000 0.403 0.041
Sm1 Sm 0.500 0.372 0.317
Sm2 Sm 0.500 0.628 0.817
La1 La 0.000 0.870 0.182
La2 La 0.000 0.130 0.682
# Density of states at the Fermi level   6.02 states/eV per cell
# ΔE_f   -776 meV/atom


[5]
# AlSb2Te (GGA-PBE, relaxed)
data_AlSb2Te
_symmetry_space_group_name_H-M 'P 1'
_symmetry_Int_Tables_number 1
_symmetry_space_group_name_Hall 'P 1'
_cell_length_a 3.125
_cell_length_b 5.283
_cell_length_c 6.419
_cell_angle_alpha 90.00
_cell_angle_beta 90.00
_cell_angle_gamma 90.00
loop_
_atom_site_label
_atom_site_type_symbol
_atom_site_fract_x
_atom_site_fract_y
_atom_site_fract_z
Al1 Al 0.500 0.500 0.750
Sb1 Sb 0.000 0.000 0.979
Sb2 Sb 0.000 0.000 0.521
Te1 Te 0.500 0.500 0.250
# Uncorrected formation energy   0.31 eV/atom
# Density of states at the Fermi level   2.59 states/eV per cell
# Relative energy among the computed polymorphs   9.12 kcal/mol of atoms


[6]
# Sr2Sb2Se3O2 (GGA-PBE, relaxed)
data_Sr2Sb2Se3O2
_symmetry_space_group_name_H-M 'P 1'
_symmetry_Int_Tables_number 1
_symmetry_space_group_name_Hall 'P 1'
_cell_length_a 4.066
_cell_length_b 9.669
_cell_length_c 13.570
_cell_angle_alpha 56.07
_cell_angle_beta 90.00
_cell_angle_gamma 90.00
loop_
_atom_site_label
_atom_site_type_symbol
_atom_site_fract_x
_atom_site_fract_y
_atom_site_fract_z
Se1 Se 0.500 0.206 0.868
Se2 Se 0.500 0.794 0.132
Se3 Se 0.000 0.794 0.632
Se4 Se 0.000 0.500 0.000
Se5 Se 0.500 0.500 0.500
Se6 Se 0.000 0.206 0.368
Sr1 Sr 0.000 0.894 0.898
Sr2 Sr 0.500 0.894 0.398
Sr3 Sr 0.000 0.106 0.102
Sr4 Sr 0.500 0.106 0.602
O1 O 0.500 0.847 0.814
O2 O 0.500 0.153 0.186
O3 O 0.000 0.153 0.686
O4 O 0.000 0.847 0.314
Sb1 Sb 0.500 0.356 0.191
Sb2 Sb 0.500 0.644 0.809
Sb3 Sb 0.000 0.644 0.309
Sb4 Sb 0.000 0.356 0.691
# Uncorrected formation energy   -1.52 eV/atom


[7]
# Mg5ZnPd (GGA-PBE, relaxed)
data_Mg5ZnPd
_symmetry_space_group_name_H-M 'P 1'
_symmetry_Int_Tables_number 1
_symmetry_space_group_name_Hall 'P 1'
_cell_length_a 7.064
_cell_length_b 7.064
_cell_length_c 9.309
_cell_angle_alpha 66.80
_cell_angle_beta 66.80
_cell_angle_gamma 69.00
loop_
_atom_site_label
_atom_site_type_symbol
_atom_site_fract_x
_atom_site_fract_y
_atom_site_fract_z
Mg1 Mg 0.896 0.104 0.250
Mg2 Mg 0.295 0.664 0.464
Mg3 Mg 0.226 0.270 0.852
Mg4 Mg 0.730 0.774 0.648
Mg5 Mg 0.336 0.705 0.036
Mg6 Mg 0.104 0.896 0.750
Mg7 Mg 0.774 0.730 0.148
Mg8 Mg 0.664 0.295 0.964
Mg9 Mg 0.705 0.336 0.536
Mg10 Mg 0.270 0.226 0.352
Zn1 Zn 0.558 0.442 0.250
Zn2 Zn 0.442 0.558 0.750
Pd1 Pd 0.000 0.000 0.000
Pd2 Pd 0.000 0.000 0.500
# Density of states at the Fermi level   4.36 states/eV per cell
# ΔE_f   31 meV/atom


[8]
# SbPdPt4 (GGA-PBE, relaxed)
data_SbPdPt4
_symmetry_space_group_name_H-M 'P 1'
_symmetry_Int_Tables_number 1
_symmetry_space_group_name_Hall 'P 1'
_cell_length_a 5.327
_cell_length_b 5.327
_cell_length_c 5.327
_cell_angle_alpha 60.00
_cell_angle_beta 60.00
_cell_angle_gamma 60.00
loop_
_atom_site_label
_atom_site_type_symbol
_atom_site_fract_x
_atom_site_fract_y
_atom_site_fract_z
Pd1 Pd 0.000 0.000 0.000
Pt1 Pt 0.124 0.625 0.625
Pt2 Pt 0.625 0.625 0.124
Pt3 Pt 0.625 0.625 0.625
Pt4 Pt 0.625 0.124 0.625
Sb1 Sb 0.250 0.250 0.250
# Uncorrected formation energy   0.01 eV/atom
# Density of states at the Fermi level   6.28 states/eV per cell
# Relative energy among the computed polymorphs   3.49 kcal/mol of atoms


no.,final energy (eV/f.u.)
1,-19.2
2,-25.3
3,-68.9
4,-20.8
5,-13.9
6,-45.7
7,-14.2
8,-33.4